Record 1
! TaAgO3 (PBE, optimized geometry); values from VASP
&SYSTEM
  ibrav = 0, nat = 10, ntyp = 3
/
ATOMIC_SPECIES
Ta 180.95 Ta.upf
Ag 107.87 Ag.upf
O 16.00 O.upf
CELL_PARAMETERS angstrom
5.650 0.000 0.000
2.900 4.849 0.000
2.900 1.645 4.562
ATOMIC_POSITIONS crystal
Ta 0.000 0.000 0.000
Ta 0.500 0.500 0.500
Ag 0.250 0.250 0.250
Ag 0.750 0.750 0.750
O 0.750 0.307 0.193
O 0.193 0.750 0.307
O 0.307 0.193 0.750
O 0.250 0.693 0.807
O 0.693 0.807 0.250
O 0.807 0.250 0.693
! DFT total energy (eV per atom): -7.9031
! Formation energy from raw total energies (eV per atom): -1.987
! Calculated volume (A^3/atom): 12.5
! N(E_F) (states/eV/atom): 0.0000

Record 2
! ZrZnHg (PBE, optimized geometry); values from VASP
&SYSTEM
  ibrav = 0, nat = 3, ntyp = 3
/
ATOMIC_SPECIES
Hg 200.59 Hg.upf
Zn 65.41 Zn.upf
Zr 91.22 Zr.upf
CELL_PARAMETERS angstrom
3.155 0.000 0.000
-1.577 2.732 0.000
0.000 0.000 7.199
ATOMIC_POSITIONS crystal
Hg 0.000 0.000 0.010
Zn 0.667 0.333 0.332
Zr 0.333 0.667 0.657
! DFT total energy (eV per atom): -3.3517
! Formation enthalpy at 0 K (meV per atom): 23
! Relative energy among the computed polymorphs (meV per atom): 193
! Calculated volume (A^3/atom): 20.7
! N(E_F) (states/eV/atom): 0.8618

Record 3
! K2ZnCdF6 (PBE, optimized geometry); values from VASP
&SYSTEM
  ibrav = 0, nat = 20, ntyp = 4
/
ATOMIC_SPECIES
K 39.10 K.upf
Zn 65.41 Zn.upf
Cd 112.41 Cd.upf
F 19.00 F.upf
CELL_PARAMETERS angstrom
6.067 0.000 0.000
0.000 6.075 0.000
0.000 0.000 8.587
ATOMIC_POSITIONS crystal
K 0.500 0.750 0.250
K 0.000 0.250 0.750
K 0.500 0.750 0.750
K 0.000 0.250 0.250
Zn 0.500 0.249 0.500
Zn 0.000 0.751 0.000
Cd 0.000 0.749 0.500
Cd 0.500 0.251 0.000
F 0.500 0.249 0.261
F 0.500 0.249 0.739
F 0.000 0.751 0.239
F 0.000 0.751 0.761
F 0.261 0.010 0.500
F 0.739 0.010 0.500
F 0.260 0.488 0.500
F 0.740 0.488 0.500
F 0.760 0.512 0.000
F 0.240 0.512 0.000
F 0.239 0.990 0.000
F 0.761 0.990 0.000
! DFT total energy (eV per atom): -4.0648
! Formation energy from raw total energies (eV per atom): -2.504
! Calculated volume (A^3/atom): 15.8
! N(E_F) (states/eV/atom): 0.0000